Record 1
The following is a DFT calculation (PBE) of a relaxed structure of Ba2In2Ag3.

The structure belongs to space group Cmcm (No. 63); the cell edges are 4.820, 21.290 and 8.110 Å and the angles 90.00°, 90.00° and 90.00°. The asymmetric unit holds Ba at (0.000, 0.060, 0.250), Ba at (0.000, 0.152, 0.750), In at (0.000, 0.307, 0.557), Ag at (0.000, 0.226, 0.250) and Ag at (0.000, 0.440, 0.071).

The calculation puts the total DFT energy (no corrections) at -2.860 eV per atom. The energy of formation is -0.3066 eV/atom. As for the volume: 832.2 Å³ per cell. For the density of states at the Fermi level, the calculation gives 0.50 states/eV per atom.

=====

Record 2
The following is a DFT calculation (PBE) of a relaxed structure of Ba3In4Ag4.

The structure belongs to space group P-1 (No. 2); the cell edges are 4.615, 5.127 and 14.658 Å and the angles 96.75°, 98.94° and 90.19°. The asymmetric unit holds Ba at (0.000, 0.000, 0.000), Ba at (0.148, 0.620, 0.300), In at (0.300, 0.864, 0.596), In at (0.449, 0.464, 0.895), Ag at (0.252, 0.326, 0.506) and Ag at (0.401, 0.929, 0.800).

The calculation puts the total DFT energy (no corrections) at -2.868 eV per atom. The energy of formation is -0.3110 eV/atom. As for the volume: 340.1 Å³ per cell. For the density of states at the Fermi level, the calculation gives 0.61 states/eV per atom.

=====

Record 3
The following is a DFT calculation (PBE) of a relaxed structure of BaIn3Ag5.

The structure belongs to space group Cmcm (No. 63); the cell edges are 4.488, 14.478 and 13.863 Å and the angles 90.00°, 90.00° and 90.00°. The asymmetric unit holds Ba at (0.000, 0.171, 0.250), In at (0.000, 0.121, 0.750), In at (0.000, 0.380, 0.550), Ag at (0.000, 0.000, 0.000), Ag at (0.000, 0.190, 0.561) and Ag at (0.000, 0.450, 0.147).

The calculation puts the total DFT energy (no corrections) at -2.838 eV per atom. The energy of formation is -0.1278 eV/atom. As for the volume: 900.7 Å³ per cell. For the density of states at the Fermi level, the calculation gives 0.51 states/eV per atom.

=====

Record 4
The following is a DFT calculation (PBE) of a relaxed structure of Ba12InAg5.

The structure belongs to space group Immm (No. 71); the cell edges are 11.078, 11.687 and 12.268 Å and the angles 90.00°, 90.00° and 90.00°. The asymmetric unit holds Ba at (0.000, 0.188, 0.248), Ba at (0.197, 0.500, 0.166), Ba at (0.227, 0.324, 0.500), In at (0.000, 0.000, 0.500), Ag at (0.000, 0.000, 0.000), Ag at (0.000, 0.339, 0.000) and Ag at (0.000, 0.500, 0.382).

The calculation puts the total DFT energy (no corrections) at -2.420 eV per atom. The energy of formation is -0.1936 eV/atom. As for the volume: 1588.2 Å³ per cell. For the density of states at the Fermi level, the calculation gives 1.00 states/eV per atom.

=====

Record 5
The following is a DFT calculation (PBE) of a relaxed structure of BaInAg3.

The structure belongs to space group Pm-3m (No. 221); the cell edges are 5.325, 5.325 and 5.325 Å and the angles 90.00°, 90.00° and 90.00°. The asymmetric unit holds Ba at (0.000, 0.000, 0.000), In at (0.500, 0.500, 0.500) and Ag at (0.000, 0.500, 0.500).

The calculation puts the total DFT energy (no corrections) at -2.687 eV per atom. The energy of formation is -0.0437 eV/atom. The calculation puts the distance to the lowest polymorph of the same formula at 3.79 kcal/mol of atoms. As for the volume: 151.0 Å³ per cell. For the density of states at the Fermi level, the calculation gives 0.24 states/eV per atom.

=====

Record 6
The following is a DFT calculation (PBE) of a relaxed structure of BaIn2Ag.

The structure belongs to space group P2/m (No. 10); the cell edges are 4.228, 4.949 and 6.173 Å and the angles 90.00°, 104.09° and 90.00°. The asymmetric unit holds Ba at (0.000, 0.000, 0.000), In at (0.335, 0.500, 0.691) and Ag at (0.500, 0.000, 0.500).

The calculation puts the total DFT energy (no corrections) at -2.783 eV per atom. The energy of formation is -0.2199 eV/atom. As for the volume: 125.3 Å³ per cell. For the density of states at the Fermi level, the calculation gives 0.53 states/eV per atom.